# 1
A plane-wave DFT calculation with GGA-PBE was carried out for a geometry-optimized La3Dy2YTe6 structure.

```
data_La3Dy2YTe6
_chemical_formula_sum 'La6 Dy4 Y2 Te12'
_symmetry_space_group_name_H-M 'C 1 2/m 1'
_symmetry_Int_Tables_number 12
_symmetry_space_group_name_Hall '-C 2y'
_cell_length_a 19.5483
_cell_length_b 4.4349
_cell_length_c 9.0111
_cell_angle_alpha 90.00
_cell_angle_beta 104.35
_cell_angle_gamma 90.00
loop_
_atom_site_label
_atom_site_type_symbol
_atom_site_fract_x
_atom_site_fract_y
_atom_site_fract_z
_atom_site_occupancy
La1 La 0.0000 0.0000 0.0000 1
La2 La 0.1663 0.5000 0.3332 1
Dy1 Dy 0.1666 0.5000 0.8334 1
Y1 Y 0.0000 0.0000 0.5000 1
Te1 Te 0.0040 0.5000 0.7412 1
Te2 Te 0.1633 0.0000 0.5931 1
Te3 Te 0.1704 0.0000 0.0739 1
```

Computed properties:
Size of the total moment   0.0 Bohr magnetons per cell
Energy   -5.56 eV per atom
Fermi-level density of states   0.60 states/eV/atom



# 2
A plane-wave DFT calculation with GGA-PBE was carried out for a geometry-optimized V3FeSb structure.

```
data_V3FeSb
_chemical_formula_sum 'V3 Fe1 Sb1'
_symmetry_space_group_name_H-M 'P m -3 m'
_symmetry_Int_Tables_number 221
_symmetry_space_group_name_Hall '-P 4 2 3'
_cell_length_a 4.3417
_cell_length_b 4.3417
_cell_length_c 4.3417
_cell_angle_alpha 90.00
_cell_angle_beta 90.00
_cell_angle_gamma 90.00
loop_
_atom_site_label
_atom_site_type_symbol
_atom_site_fract_x
_atom_site_fract_y
_atom_site_fract_z
_atom_site_occupancy
V1 V 0.0000 0.0000 0.5000 1
Fe1 Fe 0.0000 0.0000 0.0000 1
Sb1 Sb 0.5000 0.5000 0.5000 1
```

Computed properties:
Size of the total moment   0.0 Bohr magnetons per cell
Energy   -7.52 eV per atom
Fermi-level density of states   1.17 states/eV/atom
Energy above the lowest structure with this stoichiometry   0 meV per atom



# 3
A plane-wave DFT calculation with GGA-PBE was carried out for a geometry-optimized LaNd2Sm structure.

```
data_LaNd2Sm
_chemical_formula_sum 'La2 Nd4 Sm2'
_symmetry_space_group_name_H-M 'A m m 2'
_symmetry_Int_Tables_number 38
_symmetry_space_group_name_Hall 'A 2 -2'
_cell_length_a 5.7547
_cell_length_b 3.6078
_cell_length_c 13.6461
_cell_angle_alpha 90.00
_cell_angle_beta 90.00
_cell_angle_gamma 90.00
loop_
_atom_site_label
_atom_site_type_symbol
_atom_site_fract_x
_atom_site_fract_y
_atom_site_fract_z
_atom_site_occupancy
La1 La 0.0000 0.0000 0.0000 1
Nd1 Nd 0.0000 0.0000 0.2543 1
Nd2 Nd 0.5000 0.0000 0.3796 1
Sm1 Sm 0.5000 0.0000 0.6407 1
```

Computed properties:
ΔE_f   40 meV/atom
Size of the total moment   0.0 Bohr magnetons per cell
Energy   -4.76 eV per atom
Fermi-level density of states   1.40 states/eV/atom
Energy above the lowest structure with this stoichiometry   25 meV per atom



What is the size of the total moment in the third record? 0.0 Bohr magnetons per cell



What did the first record say?
A plane-wave DFT calculation with GGA-PBE was carried out for a geometry-optimized La3Dy2YTe6 structure.

```
data_La3Dy2YTe6
_chemical_formula_sum 'La6 Dy4 Y2 Te12'
_symmetry_space_group_name_H-M 'C 1 2/m 1'
_symmetry_Int_Tables_number 12
_symmetry_space_group_name_Hall '-C 2y'
_cell_length_a 19.5483
_cell_length_b 4.4349
_cell_length_c 9.0111
_cell_angle_alpha 90.00
_cell_angle_beta 104.35
_cell_angle_gamma 90.00
loop_
_atom_site_label
_atom_site_type_symbol
_atom_site_fract_x
_atom_site_fract_y
_atom_site_fract_z
_atom_site_occupancy
La1 La 0.0000 0.0000 0.0000 1
La2 La 0.1663 0.5000 0.3332 1
Dy1 Dy 0.1666 0.5000 0.8334 1
Y1 Y 0.0000 0.0000 0.5000 1
Te1 Te 0.0040 0.5000 0.7412 1
Te2 Te 0.1633 0.0000 0.5931 1
Te3 Te 0.1704 0.0000 0.0739 1
```

Computed properties:
Size of the total moment   0.0 Bohr magnetons per cell
Energy   -5.56 eV per atom
Fermi-level density of states   0.60 states/eV/atom



Which formula does entry 1 have? La3Dy2YTe6